The following is a PBE calculation of a relaxed structure of AsIrPd, from Alexandria.

## Properties
* ρ: 12.45 g cm⁻³
* electronic total energy: -6.360 eV/atom

Cell lengths 5.8405, 5.8405, 5.8405 Å; angles 90.00, 90.00, 90.00 degrees
Space group F-43m (No. 216)
Unique sites:
1 As 0.0000 0.0000 0.0000 x4
2 Ir 0.2500 0.2500 0.2500 x4
3 Pd 0.2500 0.2500 0.7500 x4